[1]
Pm2PrH6 | Alexandria | GGA-PBE | relaxed; V = 121.52 Å³/cell; Fermi-level density of states = 2.61 states/eV per cell; space-group type = No. 139; calculated total energy = -4.476 eV per atom
1.0
-1.9275 1.9275 8.1772
1.9275 -1.9275 8.1772
1.9275 1.9275 -8.1772
Pm Pr H
2 1 6
direct
0.1677 0.1677 0.0000
0.8323 0.8323 0.0000
0.5000 0.5000 0.0000
0.0861 0.5861 0.5000
0.2500 0.7500 0.5000
0.4139 0.9139 0.5000
0.5861 0.0861 0.5000
0.7500 0.2500 0.5000
0.9139 0.4139 0.5000



[2]
Zr2MoBr | Alexandria | GGA-PBE | relaxed; offset from the most stable computed form = 961 meV/atom; V = 79.25 Å³/cell; Fermi-level density of states = 4.85 states/eV per cell; formation energy (no corrections) = 623 meV per atom; space-group type = No. 216; calculated total energy = -6.777 eV per atom
1.0
0.0000 3.4093 3.4093
3.4093 0.0000 3.4093
3.4093 3.4093 0.0000
Zr Mo Br
2 1 1
direct
0.0000 0.0000 0.0000
0.2500 0.2500 0.2500
0.7500 0.7500 0.7500
0.5000 0.5000 0.5000



[3]
Cs2LiHSe | Alexandria | GGA-PBE | relaxed; offset from the most stable computed form = 115 meV/atom; V = 220.46 Å³/cell; Fermi-level density of states = 0.00 states/eV per cell; space-group type = No. 1; calculated total energy = -2.730 eV per atom
1.0
4.7705 0.0000 0.0000
0.1270 5.5855 0.0000
0.9606 1.7748 8.2738
Cs Li H Se
2 1 1 1
direct
0.0000 0.0000 0.0000
0.0483 0.6297 0.5852
0.4983 0.1159 0.4134
0.4393 0.0026 0.2446
0.5585 0.1213 0.6818



[4]
Ba2YZn | Alexandria | GGA-PBE | relaxed; V = 162.53 Å³/cell; Fermi-level density of states = 5.96 states/eV per cell; space-group type = No. 6; formation energy = 0.11 eV per atom; calculated total energy = -2.784 eV per atom
1.0
4.2980 0.0000 0.0000
0.0000 5.1924 0.0000
-2.1466 0.0000 7.2826
Ba Y Zn
2 1 1
direct
0.0000 0.0000 0.0000
0.3133 0.5000 0.6308
0.6114 0.5000 0.2223
0.7114 0.0000 0.4300



[5]
Ho3Mg7Sc2 | Alexandria | GGA-PBE | relaxed; V = 318.36 Å³/cell; Fermi-level density of states = 11.83 states/eV per cell; space-group type = No. 65; formation energy = 0.14 eV per atom; calculated total energy = -2.990 eV per atom
1.0
2.5523 -11.7912 0.0000
2.5523 11.7912 0.0000
0.0000 0.0000 5.2893
Ho Mg Sc
3 7 2
direct
0.0000 0.0000 0.0000
0.1668 0.8332 0.0000
0.8332 0.1668 0.0000
0.0776 0.9224 0.5000
0.2282 0.7718 0.5000
0.4225 0.5775 0.0000
0.5000 0.5000 0.5000
0.5775 0.4225 0.0000
0.7718 0.2282 0.5000
0.9224 0.0776 0.5000
0.3553 0.6447 0.5000
0.6447 0.3553 0.5000



[6]
KLa2Ag | Alexandria | GGA-PBE | relaxed; offset from the most stable computed form = 369 meV/atom; V = 127.37 Å³/cell; Fermi-level density of states = 3.45 states/eV per cell; space-group type = No. 216; formation energy = 0.42 eV per atom; calculated total energy = -3.032 eV per atom
1.0
0.0000 3.9934 3.9934
3.9934 0.0000 3.9934
3.9934 3.9934 0.0000
K La Ag
1 2 1
direct
0.0000 0.0000 0.0000
0.2500 0.2500 0.2500
0.5000 0.5000 0.5000
0.7500 0.7500 0.7500



[7]
HoTl2Pb | Alexandria | GGA-PBE | relaxed; V = 126.69 Å³/cell; Fermi-level density of states = 3.09 states/eV per cell; space-group type = No. 160; formation energy = 0.00 eV per atom; calculated total energy = -3.254 eV per atom
1.0
2.5131 1.4510 5.7909
-2.5131 1.4510 5.7909
0.0000 -2.9019 5.7909
Ho Tl Pb
1 2 1
direct
0.0000 0.0000 0.0000
0.4168 0.4168 0.4168
0.6116 0.6116 0.6116
0.1899 0.1899 0.1899



[8]
NaZn3W | Alexandria | GGA-PBE | relaxed; offset from the most stable computed form = 0 meV/atom; V = 126.05 Å³/cell; Fermi-level density of states = 4.41 states/eV per cell; space-group type = No. 221; formation energy = 0.83 eV per atom; calculated total energy = -2.793 eV per atom
1.0
5.0139 0.0000 0.0000
0.0000 5.0139 0.0000
0.0000 0.0000 5.0139
Na Zn W
1 3 1
direct
0.0000 0.0000 0.0000
0.0000 0.5000 0.5000
0.5000 0.0000 0.5000
0.5000 0.5000 0.0000
0.5000 0.5000 0.5000